Entry 1:
! PBE CeLuOsAu, optimized geometry; values from VASP
&SYSTEM
  ibrav = 0, nat = 4, ntyp = 4
/
ATOMIC_SPECIES
Ce 140.12 Ce.upf
Lu 174.97 Lu.upf
Os 190.23 Os.upf
Au 196.97 Au.upf
CELL_PARAMETERS angstrom
0.000 3.505 3.505
3.505 0.000 3.505
3.505 3.505 0.000
ATOMIC_POSITIONS angstrom
Ce 0.000 0.000 0.000
Lu 3.505 3.505 3.505
Os 1.753 1.753 1.753
Au 5.258 5.258 5.258
! Energy relative to the elements: -413.6 meV per atom
! Theoretical density: 13.54 Mg/m³
! SG: F-43m, No. 216
! Spin magnetization: 0.29 μB per formula unit
! Crystal system: cubic

Entry 2:
! PBE MgCd6Hg8, optimized geometry; values from VASP
&SYSTEM
  ibrav = 0, nat = 15, ntyp = 3
/
ATOMIC_SPECIES
Mg 24.30 Mg.upf
Cd 112.41 Cd.upf
Hg 200.59 Hg.upf
CELL_PARAMETERS angstrom
4.544 2.624 5.462
-4.544 2.624 5.462
0.000 -5.247 5.462
ATOMIC_POSITIONS angstrom
Mg 0.000 0.000 0.000
Cd -3.004 -0.010 5.715
Cd -1.493 -2.607 10.672
Cd 1.511 -2.596 5.715
Cd -1.511 2.596 10.672
Cd 1.493 2.607 5.715
Cd 3.004 0.010 10.672
Hg -3.115 -1.304 8.378
Hg -0.428 -3.350 8.009
Hg -2.687 2.046 8.009
Hg 0.000 0.000 5.390
Hg 0.000 0.000 10.997
Hg 2.687 -2.046 8.378
Hg 0.428 3.350 8.378
Hg 3.115 1.304 8.009
! Energy relative to the elements: 4.1 meV per atom
! Theoretical density: 9.79 Mg/m³
! Energy above the lowest structure with this stoichiometry: 0.000 eV/atom
! SG: R-3, No. 148
! Spin magnetization: 0.00 μB per formula unit
! Crystal system: trigonal

Entry 3:
! PBE Y3ScIn, optimized geometry; values from VASP
&SYSTEM
  ibrav = 0, nat = 5, ntyp = 3
/
ATOMIC_SPECIES
Y 88.91 Y.upf
Sc 44.96 Sc.upf
In 114.82 In.upf
CELL_PARAMETERS angstrom
5.461 0.000 0.000
0.000 5.461 0.000
0.000 0.000 5.461
ATOMIC_POSITIONS angstrom
Y 0.000 0.000 2.731
Y 0.000 2.731 0.000
Y 2.731 0.000 0.000
Sc 0.000 0.000 0.000
In 2.731 2.731 2.731
! Energy relative to the elements: 570.7 meV per atom
! Theoretical density: 4.35 Mg/m³
! Energy above the lowest structure with this stoichiometry: 0.755 eV/atom
! SG: Pm-3m, No. 221
! Spin magnetization: 0.00 μB per formula unit
! Crystal system: cubic